Entry from the Alexandria database: crystalline TcP2Rh at its relaxed geometry (PBE).

## Properties
DFT total energy: -7.571 eV per atom
Energy above the most stable polymorph in this dataset: 0.00 eV per formula unit
Size of the total moment: 0.000 μB/atom

abc: 4.301 4.301 4.700
angles: 102.36 102.36 42.83
Positions (direct):
Tc 0.000 0.000 0.000
P 0.289 0.289 0.033
P 0.517 0.517 0.609
Rh 0.780 0.780 0.417